{"formula": "Ac2La4Se9", "functional": "PBE-GGA", "state": "relaxed", "e_tot_ev_per_atom": -5.972, "volume_a3_per_atom": 35.0, "spacegroup": "P-1, No. 2", "formation_energy_uncorrected_kj_per_mol_atoms": -195, "magmom_total_mub_per_atom": 0.00, "lattice_angstrom": [[-2.4108, 3.4221, 6.4979], [-3.4873, -4.1813, 5.4921], [17.9859, -3.6989, 8.5903]], "species": ["Ac", "Ac", "Ac", "Ac", "La", "La", "La", "La", "La", "La", "La", "La", "Se", "Se", "Se", "Se", "Se", "Se", "Se", "Se", "Se", "Se", "Se", "Se", "Se", "Se", "Se", "Se", "Se", "Se"], "fractional_positions": [[0.9988, 0.0021, 0.3552], [0.9997, 0.9981, 0.1443], [0.0012, 0.9979, 0.6448], [0.0003, 0.0019, 0.8557], [0.3327, 0.3336, 0.9818], [0.3343, 0.3331, 0.4825], [0.6673, 0.6664, 0.0182], [0.3322, 0.3337, 0.1873], [0.6657, 0.6669, 0.5175], [0.6655, 0.6670, 0.3130], [0.3345, 0.3330, 0.6870], [0.6678, 0.6663, 0.8127], [0.0009, 0.2998, 0.7496], [0.2995, 0.6999, 0.7505], [0.7005, 0.0007, 0.7502], [0.9991, 0.7002, 0.2504], [0.7005, 0.3001, 0.2495], [0.2995, 0.9993, 0.2498], [0.6525, 0.9655, 0.4161], [0.9638, 0.3832, 0.4168], [0.3808, 0.6539, 0.4158], [0.6159, 0.0374, 0.0836], [0.3468, 0.6165, 0.0838], [0.0368, 0.3441, 0.0834], [0.3475, 0.0345, 0.5839], [0.0362, 0.6168, 0.5832], [0.6192, 0.3461, 0.5842], [0.3841, 0.9626, 0.9164], [0.6532, 0.3835, 0.9162], [0.9632, 0.6559, 0.9166]]}